(1)
{"formula": "ScNbRuBr2", "functional": "GGA-PBE", "state": "relaxed", "n_ef_per_ev_cell": 6.120, "magnetic_moment_mub_per_fu": 4.23, "formation_energy_uncorrected_ev_per_atom": 0.853, "cell": [[5.101, 0.000, 0.000], [0.000, 5.101, 0.000], [0.000, 0.000, 4.776]], "species": ["Sc", "Nb", "Ru", "Br", "Br"], "fractional_positions": [[0.000, 0.000, 0.000], [0.500, 0.500, 0.000], [0.000, 0.000, 0.500], [0.000, 0.500, 0.500], [0.500, 0.000, 0.500]]}

***

(2)
{"formula": "Y2Ga3Cu4Au", "functional": "GGA-PBE", "state": "relaxed", "n_ef_per_ev_cell": 3.824, "formation_energy_ev_per_atom": -0.418, "magnetic_moment_mub_per_fu": 0.00, "cell": [[4.032, 0.000, 0.000], [0.000, 4.032, 0.000], [0.000, 0.000, 10.838]], "species": ["Y", "Y", "Ga", "Ga", "Ga", "Cu", "Cu", "Cu", "Cu", "Au"], "fractional_positions": [[0.000, 0.500, 0.246], [0.500, 0.000, 0.754], [0.000, 0.500, 0.870], [0.500, 0.000, 0.130], [0.500, 0.500, 0.500], [0.000, 0.000, 0.000], [0.000, 0.500, 0.650], [0.500, 0.000, 0.350], [0.500, 0.500, 0.000], [0.000, 0.000, 0.500]]}

***

(3)
{"formula": "PmNd2SmY2", "functional": "GGA-PBE", "state": "relaxed", "n_ef_per_ev_cell": 21.779, "formation_energy_ev_per_atom": 0.268, "magnetic_moment_mub_per_fu": 0.00, "cell": [[6.687, 0.000, 0.000], [0.000, 18.206, 0.000], [0.000, 0.000, 3.423]], "species": ["Pm", "Pm", "Nd", "Nd", "Nd", "Nd", "Sm", "Sm", "Y", "Y", "Y", "Y"], "fractional_positions": [[0.000, 0.000, 0.000], [0.500, 0.500, 0.500], [0.226, 0.184, 0.000], [0.274, 0.684, 0.500], [0.726, 0.316, 0.500], [0.774, 0.816, 0.000], [0.000, 0.500, 0.000], [0.500, 0.000, 0.500], [0.223, 0.352, 0.500], [0.277, 0.852, 0.000], [0.723, 0.148, 0.000], [0.777, 0.648, 0.500]]}

***

(4)
{"formula": "CaEuTlPb", "functional": "GGA-PBE", "state": "relaxed", "n_ef_per_ev_cell": 2.299, "formation_energy_ev_per_atom": -0.494, "magnetic_moment_mub_per_fu": 7.13, "cell": [[0.000, 3.962, 3.962], [3.962, 0.000, 3.962], [3.962, 3.962, 0.000]], "species": ["Ca", "Eu", "Tl", "Pb"], "fractional_positions": [[0.000, 0.000, 0.000], [0.500, 0.500, 0.500], [0.250, 0.250, 0.250], [0.750, 0.750, 0.750]]}

***

(5)
{"formula": "TiSbAu2", "functional": "GGA-PBE", "state": "relaxed", "n_ef_per_ev_cell": 2.152, "magnetic_moment_mub_per_fu": 0.86, "formation_energy_uncorrected_ev_per_atom": -0.182, "cell": [[3.107, 0.000, 0.000], [0.000, 3.107, 0.000], [0.000, 0.000, 8.335]], "species": ["Ti", "Sb", "Au", "Au"], "fractional_positions": [[0.000, 0.000, 0.000], [0.000, 0.000, 0.500], [0.500, 0.500, 0.212], [0.500, 0.500, 0.788]]}

***

(6)
{"formula": "BeGa2Se", "functional": "GGA-PBE", "state": "relaxed", "n_ef_per_ev_cell": 1.186, "polymorph_energy_mev_per_atom": 0, "magnetic_moment_mub_per_fu": 0.00, "formation_energy_uncorrected_ev_per_atom": 0.120, "cell": [[-2.910, 2.910, 5.212], [2.910, -2.910, 5.212], [2.910, 2.910, -5.212]], "species": ["Be", "Be", "Ga", "Ga", "Ga", "Ga", "Se", "Se"], "fractional_positions": [[0.000, 0.000, 0.000], [0.750, 0.250, 0.500], [0.086, 0.625, 0.961], [0.375, 0.336, 0.461], [0.664, 0.125, 0.039], [0.875, 0.914, 0.539], [0.250, 0.750, 0.500], [0.500, 0.500, 0.000]]}

***

(7)
{"formula": "PuZn2Cu2", "functional": "GGA-PBE", "state": "relaxed", "n_ef_per_ev_cell": 22.946, "formation_energy_ev_per_atom": -0.047, "polymorph_energy_mev_per_atom": 11, "magnetic_moment_mub_per_fu": 5.86, "cell": [[-2.056, 2.056, 10.398], [2.056, -2.056, 10.398], [2.056, 2.056, -10.398]], "species": ["Pu", "Pu", "Zn", "Zn", "Zn", "Zn", "Cu", "Cu", "Cu", "Cu"], "fractional_positions": [[0.129, 0.129, 0.000], [0.871, 0.871, 0.000], [0.000, 0.500, 0.500], [0.316, 0.316, 0.000], [0.500, 0.000, 0.500], [0.684, 0.684, 0.000], [0.250, 0.750, 0.500], [0.432, 0.432, 0.000], [0.568, 0.568, 0.000], [0.750, 0.250, 0.500]]}

***

(8)
{"formula": "PaGa4Sn", "functional": "GGA-PBE", "state": "relaxed", "n_ef_per_ev_cell": 6.381, "formation_energy_ev_per_atom": -0.067, "magnetic_moment_mub_per_fu": 0.51, "cell": [[0.000, 3.925, 3.925], [3.925, 0.000, 3.925], [3.925, 3.925, 0.000]], "species": ["Pa", "Ga", "Ga", "Ga", "Ga", "Sn"], "fractional_positions": [[0.000, 0.000, 0.000], [0.375, 0.375, 0.375], [0.375, 0.375, 0.874], [0.375, 0.874, 0.375], [0.874, 0.375, 0.375], [0.750, 0.750, 0.750]]}